Here is a relaxed PaCd2InO8 crystal from the Alexandria database. Energies are from PBE-GGA.

Summary:
Theoretical density: 6.5 g/cm3
Formation energy (no corrections): -1.258 eV/atom
Symmetry: No. 119

a b c (Å): 6.175 6.175 6.175
angles (deg): 113.86 113.86 101.01
Last column: magnetic moment on the atom in μB.
Sites, in units of the cell vectors:
O 0.967 0.274 0.307  0.15
O 0.339 0.033 0.307  0.15
O 0.726 0.033 0.693  0.15
O 0.967 0.661 0.693  0.15
O 0.273 0.091 0.818  0.44
O 0.909 0.727 0.182  0.44
O 0.273 0.456 0.182  0.44
O 0.544 0.727 0.818  0.44
Cd 0.500 0.500 0.000  0.06
Cd 0.750 0.250 0.500  0.01
In 0.250 0.750 0.500  0.00
Pa 0.000 0.000 0.000  -0.01



Here is a relaxed Nd2Ni3Ge4Au crystal from the Alexandria database. Energies are from PBE-GGA.

Summary:
ΔH_f (0 K): -663 meV per atom
Theoretical density: 8.9 g/cm3
Symmetry: No. 115

a b c (Å): 4.231 4.231 9.908
angles (deg): 90.00 90.00 90.00
Sites, in units of the cell vectors:
Ge 0.500 0.000 0.646
Ge 0.500 0.500 0.000
Ge 0.000 0.000 0.000
Ge 0.000 0.500 0.354
Au 0.500 0.500 0.500
Ni 0.000 0.000 0.500
Ni 0.500 0.000 0.884
Ni 0.000 0.500 0.116
Nd 0.000 0.500 0.757
Nd 0.500 0.000 0.243



Among the records above, which one has the lowest theoretical density? PaCd2InO8



What is the theoretical density in the second record? 8.9 g/cm3